# Zr6Fe2Te (PBE, optimized geometry)
data_Zr6Fe2Te
_chemical_formula_sum 'Zr24 Fe8 Te4'
_symmetry_space_group_name_H-M 'I m m m'
_symmetry_Int_Tables_number 71
_symmetry_space_group_name_Hall '-I 2 2'
_cell_length_a 8.4903
_cell_length_b 8.5548
_cell_length_c 10.1130
_cell_angle_alpha 90.00
_cell_angle_beta 90.00
_cell_angle_gamma 90.00
loop_
_atom_site_label
_atom_site_type_symbol
_atom_site_fract_x
_atom_site_fract_y
_atom_site_fract_z
Zr1 Zr 0.0000 0.2013 0.2410
Zr2 Zr 0.1862 0.5000 0.1690
Zr3 Zr 0.2002 0.3160 0.5000
Fe1 Fe 0.0000 0.3366 0.0000
Fe2 Fe 0.0000 0.5000 0.3702
Te1 Te 0.0000 0.0000 0.0000
Te2 Te 0.0000 0.0000 0.5000
# Raw formation energy (eV/atom): -0.183
# V (A^3/atom): 20.40